Entry from OQMD via LeMat-Bulk: a relaxed structure of IrF (GGA-PBE).

Cell: 3.7042 3.7042 4.8558 Å, 90.00 90.00 120.00°
With the nearest neighbours (Å) after each atom.
Space group P6_3/mmc (No. 194)
Inequivalent atoms, fractional coordinates:
Ir 0.0000 0.0000 0.0000  2 Ir 2.43, 6 F 2.46
F 0.3333 0.6667 0.2500  6 Ir 2.46

Results
The relative energy among the computed polymorphs comes out at 1.17 eV/f.u.